This record from Alexandria via LeMat-Bulk describes RbTl5Sb2 after structural relaxation. The functional is GGA-PBE.

Structure (POSCAR):
```
RbTl5Sb2
1.0
-2.304 4.736 6.653
2.304 -4.736 6.653
2.304 4.736 -6.653
Rb Tl Sb
1 5 2
direct
0.000 0.000 0.000
0.165 0.353 0.812
0.459 0.647 0.812
0.500 0.000 0.500
0.541 0.353 0.188
0.835 0.647 0.188
0.241 0.741 0.500
0.759 0.259 0.500
```

Results
- calculated density (g/cm³) = 7.72
- DOS(E_F) (states/eV/atom) = 0.427
- E (eV for the cell shown) = -21.79

This record from Alexandria via LeMat-Bulk describes NdPuMgO6 after structural relaxation. The functional is GGA-PBE.

Structure (POSCAR):
```
NdPuMgO6
1.0
5.400 0.000 0.000
-2.700 4.676 0.000
0.000 0.000 10.206
Nd Pu Mg O
2 2 2 12
direct
0.000 0.000 0.000
0.000 0.000 0.500
0.333 0.667 0.250
0.667 0.333 0.750
0.333 0.667 0.750
0.667 0.333 0.250
0.014 0.364 0.141
0.014 0.650 0.359
0.350 0.364 0.359
0.350 0.986 0.141
0.364 0.014 0.641
0.364 0.350 0.859
0.636 0.650 0.141
0.636 0.986 0.359
0.650 0.014 0.859
0.650 0.636 0.641
0.986 0.350 0.641
0.986 0.636 0.859
```

Results
- calculated density (g/cm³) = 6.55
- E (eV for the cell shown) = -149.95

This record from Alexandria via LeMat-Bulk describes TiPd12Pt7 after structural relaxation. The functional is GGA-PBE.

Structure (POSCAR):
```
TiPd12Pt7
1.0
5.450 3.147 3.068
-5.450 3.147 3.068
0.000 -6.293 3.068
Ti Pd Pt
1 12 7
direct
0.000 0.000 0.000
0.076 0.330 0.330
0.242 0.500 0.758
0.242 0.758 0.500
0.330 0.076 0.330
0.330 0.330 0.076
0.500 0.242 0.758
0.500 0.758 0.242
0.670 0.670 0.924
0.670 0.924 0.670
0.758 0.242 0.500
0.758 0.500 0.242
0.924 0.670 0.670
0.096 0.096 0.683
0.096 0.683 0.096
0.317 0.904 0.904
0.500 0.500 0.500
0.683 0.096 0.096
0.904 0.317 0.904
0.904 0.904 0.317
```

Results
- calculated density (g/cm³) = 14.15
- formation energy from the elements (eV per atom) = -0.13
- DOS(E_F) (states/eV/atom) = 1.851

This record from Alexandria via LeMat-Bulk describes Al3TcC after structural relaxation. The functional is GGA-PBE.

Structure (POSCAR):
```
Al3TcC
1.0
4.714 0.000 0.000
0.000 4.714 0.000
0.000 0.000 4.714
Al Tc C
3 1 1
direct
0.000 0.000 0.500
0.000 0.500 0.000
0.500 0.000 0.000
0.000 0.000 0.000
0.500 0.500 0.500
```

Results
- calculated density (g/cm³) = 3.03
- formation energy from the elements (eV per atom) = 1.52
- excess energy over the best structure of this formula in the dataset (meV/atom) = 1207
- DOS(E_F) (states/eV/atom) = 0.707

This record from Alexandria via LeMat-Bulk describes Na2Ca3IrO6 after structural relaxation. The functional is GGA-PBE.

Structure (POSCAR):
```
Na2Ca3IrO6
1.0
2.936 -5.046 0.000
2.936 5.046 0.000
-2.017 0.000 5.156
Na Ca Ir O
2 3 1 6
direct
0.167 0.833 0.000
0.833 0.167 0.000
0.000 0.000 0.500
0.331 0.669 0.500
0.669 0.331 0.500
0.500 0.500 0.000
0.122 0.422 0.760
0.286 0.286 0.231
0.422 0.122 0.760
0.578 0.878 0.240
0.714 0.714 0.769
0.878 0.578 0.240
```

Results
- calculated density (g/cm³) = 4.94
- DOS(E_F) (states/eV/atom) = 0.560
- E (eV for the cell shown) = -71.30

This record from Alexandria via LeMat-Bulk describes CuIr3 after structural relaxation. The functional is GGA-PBE.

Structure (POSCAR):
```
CuIr3
1.0
2.727 0.000 0.000
0.000 4.405 0.000
0.000 0.000 4.696
Cu Ir
1 3
direct
0.000 0.000 0.000
0.000 0.500 0.678
0.500 0.000 0.499
0.500 0.500 0.175
```

Results
- calculated density (g/cm³) = 18.85
- formation energy from the elements (eV per atom) = 0.14
- DOS(E_F) (states/eV/atom) = 1.565